# 1
An optimized crystal structure of Tb5Er2Mg2. Source: Alexandria via LeMat-Bulk, functional GGA-PBE.

As for the energy relative to the elements: 19 meV per atom. The crystal system is triclinic.

It has space group P-1 (No. 2), with a = 3.532 Å, b = 9.142 Å, c = 9.275 Å, α = 67.80°, β = 79.09° and γ = 78.93°. The inequivalent atoms are Tb at (0.000, 0.000, 0.000), Tb at (0.109, 0.451, 0.330), Tb at (0.440, 0.782, 0.338), Er at (0.222, 0.885, 0.670) and Mg at (0.329, 0.339, 0.001).

=====

# 2
An optimized crystal structure of TbEr4Mg2. Source: Alexandria via LeMat-Bulk, functional GGA-PBE.

As for the energy relative to the elements: 705 meV per atom. The crystal system is tetragonal.

It has space group I4/mmm (No. 139), with a = 5.479 Å, b = 5.479 Å, c = 16.031 Å, α = 90.00°, β = 90.00° and γ = 90.00°. The inequivalent atoms are Tb at (0.000, 0.000, 0.000), Er at (0.000, 0.000, 0.186), Er at (0.000, 0.500, 0.000) and Mg at (0.000, 0.000, 0.386).

=====

# 3
An optimized crystal structure of Tb2Er12Mg. Source: Alexandria via LeMat-Bulk, functional GGA-PBE.

As for the energy relative to the elements: 109 meV per atom. The crystal system is monoclinic.

It has space group C2/m (No. 12), with a = 6.932 Å, b = 11.163 Å, c = 24.061 Å, α = 90.00°, β = 97.53° and γ = 90.00°. The inequivalent atoms are Tb at (0.022, 0.000, 0.265), Tb at (0.025, 0.500, 0.287), Er at (0.067, 0.272, 0.934), Er at (0.099, 0.260, 0.444), Er at (0.127, 0.000, 0.107), Er at (0.148, 0.500, 0.149), Er at (0.156, 0.000, 0.581), Er at (0.169, 0.500, 0.569), Er at (0.207, 0.248, 0.673), Er at (0.213, 0.282, 0.806) and Mg at (0.224, 0.500, 0.017).

=====

# 4
An optimized crystal structure of TbEr5Mg4. Source: Alexandria via LeMat-Bulk, functional GGA-PBE.

As for the energy relative to the elements: -39 meV per atom. The crystal system is tetragonal.

It has space group P4/mmm (No. 123), with a = 3.694 Å, b = 3.694 Å, c = 20.311 Å, α = 90.00°, β = 90.00° and γ = 90.00°. The inequivalent atoms are Tb at (0.000, 0.000, 0.000), Er at (0.500, 0.500, 0.118), Er at (0.500, 0.500, 0.311), Er at (0.500, 0.500, 0.500), Mg at (0.000, 0.000, 0.215) and Mg at (0.000, 0.000, 0.405).

=====

# 5
An optimized crystal structure of Tb4Er3Mg. Source: Alexandria via LeMat-Bulk, functional GGA-PBE.

As for the energy relative to the elements: 6 meV per atom. The crystal system is orthorhombic.

It has space group Pmn2_1 (No. 31), with a = 11.200 Å, b = 7.058 Å, c = 6.180 Å, α = 90.00°, β = 90.00° and γ = 90.00°. The inequivalent atoms are Tb at (0.000, 0.124, 0.000), Tb at (0.000, 0.874, 0.477), Tb at (0.244, 0.871, 0.825), Er at (0.000, 0.372, 0.478), Er at (0.245, 0.378, 0.814) and Mg at (0.000, 0.618, 0.986).

=====

# 6
An optimized crystal structure of Tb3ErMg2. Source: Alexandria via LeMat-Bulk, functional GGA-PBE.

As for the energy relative to the elements: -40 meV per atom. The crystal system is tetragonal.

It has space group P4/mmm (No. 123), with a = 3.694 Å, b = 3.694 Å, c = 12.659 Å, α = 90.00°, β = 90.00° and γ = 90.00°. The inequivalent atoms are Tb at (0.000, 0.000, 0.000), Tb at (0.000, 0.000, 0.311), Er at (0.500, 0.500, 0.500) and Mg at (0.500, 0.500, 0.154).

=====

# 7
An optimized crystal structure of Tb2ErMg4. Source: Alexandria via LeMat-Bulk, functional GGA-PBE.

As for the energy relative to the elements: 601 meV per atom. The crystal system is tetragonal.

It has space group I4/mmm (No. 139), with a = 5.539 Å, b = 5.539 Å, c = 16.047 Å, α = 90.00°, β = 90.00° and γ = 90.00°. The inequivalent atoms are Tb at (0.000, 0.000, 0.104), Er at (0.000, 0.000, 0.500), Mg at (0.000, 0.000, 0.311) and Mg at (0.000, 0.500, 0.000).

=====

# 8
An optimized crystal structure of TbEr5Mg3. Source: Alexandria via LeMat-Bulk, functional GGA-PBE.

As for the energy relative to the elements: 375 meV per atom. The crystal system is monoclinic.

It has space group C2/m (No. 12), with a = 11.332 Å, b = 9.066 Å, c = 11.929 Å, α = 90.00°, β = 104.53° and γ = 90.00°. The inequivalent atoms are Tb at (0.118, 0.000, 0.265), Er at (0.000, 0.308, 0.000), Er at (0.087, 0.500, 0.632), Er at (0.177, 0.183, 0.797), Er at (0.224, 0.500, 0.932), Mg at (0.000, 0.000, 0.000), Mg at (0.000, 0.000, 0.500), Mg at (0.080, 0.500, 0.212) and Mg at (0.237, 0.500, 0.439).

=====

# 9
An optimized crystal structure of Tb2Er3Mg. Source: Alexandria via LeMat-Bulk, functional GGA-PBE.

As for the energy relative to the elements: 411 meV per atom. The crystal system is orthorhombic.

It has space group Immm (No. 71), with a = 3.337 Å, b = 6.067 Å, c = 18.768 Å, α = 90.00°, β = 90.00° and γ = 90.00°. The inequivalent atoms are Tb at (0.000, 0.000, 0.154), Er at (0.000, 0.000, 0.330), Er at (0.000, 0.500, 0.500) and Mg at (0.000, 0.000, 0.500).

=====

# 10
An optimized crystal structure of Tb4Er7Mg. Source: Alexandria via LeMat-Bulk, functional GGA-PBE.

As for the energy relative to the elements: 19 meV per atom. The crystal system is trigonal.

It has space group P-3m1 (No. 164), with a = 3.5214 Å, b = 3.5214 Å, c = 34.0694 Å, α = 90.00°, β = 90.00° and γ = 120.00°. The inequivalent atoms are Tb at (0.3333, 0.6667, 0.1623), Tb at (0.3333, 0.6667, 0.4155), Er at (0.0000, 0.0000, 0.2471), Er at (0.0000, 0.0000, 0.5000), Er at (0.3333, 0.6667, 0.6692), Er at (0.3333, 0.6667, 0.9218) and Mg at (0.0000, 0.0000, 0.0000).

=====

# 11
An optimized crystal structure of Tb6Er3Mg. Source: Alexandria via LeMat-Bulk, functional GGA-PBE.

As for the energy relative to the elements: 18 meV per atom. The crystal system is monoclinic.

It has space group P2_1/m (No. 11), with a = 11.080 Å, b = 4.988 Å, c = 11.142 Å, α = 90.00°, β = 90.34° and γ = 90.00°. The inequivalent atoms are Tb at (0.049, 0.250, 0.399), Tb at (0.150, 0.250, 0.698), Tb at (0.150, 0.750, 0.196), Tb at (0.248, 0.250, 0.999), Tb at (0.348, 0.750, 0.800), Tb at (0.449, 0.250, 0.602), Er at (0.249, 0.750, 0.497), Er at (0.349, 0.250, 0.297), Er at (0.450, 0.750, 0.100) and Mg at (0.047, 0.750, 0.903).

=====

# 12
An optimized crystal structure of TbEr3Mg. Source: Alexandria via LeMat-Bulk, functional GGA-PBE.

As for the energy relative to the elements: 136 meV per atom. The crystal system is orthorhombic.

It has space group Pmmn (No. 59, origin choice 2), with a = 3.681 Å, b = 10.322 Å, c = 8.118 Å, α = 90.00°, β = 90.00° and γ = 90.00°. The inequivalent atoms are Tb at (0.250, 0.250, 0.058), Er at (0.250, 0.250, 0.442), Er at (0.250, 0.504, 0.734) and Mg at (0.250, 0.750, 0.253).

=====

# 13
An optimized crystal structure of Tb2Er3Mg. Source: Alexandria via LeMat-Bulk, functional GGA-PBE.

As for the energy relative to the elements: 139 meV per atom. The crystal system is monoclinic.

It has space group C2/c (No. 15), with a = 9.761 Å, b = 11.408 Å, c = 6.716 Å, α = 90.00°, β = 96.39° and γ = 90.00°. The inequivalent atoms are Tb at (0.163, 0.233, 0.192), Er at (0.000, 0.051, 0.750), Er at (0.192, 0.479, 0.486) and Mg at (0.000, 0.322, 0.750).

=====

# 14
An optimized crystal structure of Tb8Er5Mg. Source: Alexandria via LeMat-Bulk, functional GGA-PBE.

As for the energy relative to the elements: 237 meV per atom. The crystal system is tetragonal.

It has space group I-4 (No. 82), with a = 9.570 Å, b = 9.570 Å, c = 9.928 Å, α = 90.00°, β = 90.00° and γ = 90.00°. The inequivalent atoms are Tb at (0.067, 0.328, 0.090), Tb at (0.091, 0.181, 0.753), Er at (0.000, 0.000, 0.000), Er at (0.105, 0.205, 0.420) and Mg at (0.000, 0.500, 0.750).

=====

# 15
An optimized crystal structure of Tb12Er7Mg. Source: Alexandria via LeMat-Bulk, functional GGA-PBE.

As for the energy relative to the elements: 225 meV per atom. The crystal system is trigonal.

It has space group R-3 (No. 148, hexagonal axes), with a = 11.8725 Å, b = 11.8725 Å, c = 15.9199 Å, α = 90.00°, β = 90.00° and γ = 120.00°. The inequivalent atoms are Tb at (0.0248, 0.5752, 0.2221), Tb at (0.0542, 0.8646, 0.2928), Er at (0.0000, 0.0000, 0.5000), Er at (0.0646, 0.4745, 0.5822) and Mg at (0.0000, 0.0000, 0.0000).

=====

# 16
An optimized crystal structure of Tb5Er6Mg2. Source: Alexandria via LeMat-Bulk, functional GGA-PBE.

As for the energy relative to the elements: 142 meV per atom. The crystal system is orthorhombic.

It has space group Pbam (No. 55), with a = 10.288 Å, b = 22.287 Å, c = 3.532 Å, α = 90.00°, β = 90.00° and γ = 90.00°. The inequivalent atoms are Tb at (0.000, 0.000, 0.000), Tb at (0.078, 0.252, 0.000), Tb at (0.166, 0.506, 0.000), Er at (0.021, 0.387, 0.500), Er at (0.143, 0.118, 0.500), Er at (0.168, 0.866, 0.000) and Mg at (0.172, 0.739, 0.500).

=====

# 17
An optimized crystal structure of Tb6Er4Mg. Source: Alexandria via LeMat-Bulk, functional GGA-PBE.

As for the energy relative to the elements: 282 meV per atom. The crystal system is tetragonal.

It has space group I-42m (No. 121), with a = 6.461 Å, b = 6.461 Å, c = 17.004 Å, α = 90.00°, β = 90.00° and γ = 90.00°. The inequivalent atoms are Tb at (0.000, 0.500, 0.000), Tb at (0.183, 0.183, 0.172), Er at (0.175, 0.175, 0.367) and Mg at (0.000, 0.000, 0.000).

=====

# 18
An optimized crystal structure of Tb4Er5Mg. Source: Alexandria via LeMat-Bulk, functional GGA-PBE.

As for the energy relative to the elements: 2 meV per atom. The crystal system is tetragonal.

It has space group P4/mmm (No. 123), with a = 3.536 Å, b = 3.536 Å, c = 24.316 Å, α = 90.00°, β = 90.00° and γ = 90.00°. The inequivalent atoms are Tb at (0.000, 0.000, 0.103), Tb at (0.000, 0.000, 0.308), Er at (0.500, 0.500, 0.000), Er at (0.500, 0.500, 0.205), Er at (0.500, 0.500, 0.409) and Mg at (0.000, 0.000, 0.500).

=====

# 19
An optimized crystal structure of Tb12Er7Mg. Source: Alexandria via LeMat-Bulk, functional GGA-PBE.

As for the energy relative to the elements: 829 meV per atom. The crystal system is cubic.

It has space group Im-3 (No. 204), with a = 11.926 Å, b = 11.926 Å, c = 11.926 Å, α = 90.00°, β = 90.00° and γ = 90.00°. The inequivalent atoms are Tb at (0.000, 0.259, 0.354), Er at (0.000, 0.000, 0.500), Er at (0.250, 0.250, 0.250) and Mg at (0.000, 0.000, 0.000).